ZnNi3H: optimized geometry, PBE.

Structure (extended XYZ):
```
20
Lattice="6.6059 0.0000 0.0000 0.0000 4.4993 0.0000 -1.1719 0.0000 6.4753" Properties=species:S:1:pos:R:3 pbc="T T T"
Zn 1.1701 0.4617 0.3842
Zn 0.5841 1.7880 3.6219
Zn 4.8499 2.7113 2.8535
Zn 4.2639 4.0376 6.0912
Ni 0.1876 2.6362 1.2085
Ni -0.3984 4.1128 4.4461
Ni 0.9618 2.6563 6.0718
Ni 1.5477 4.0926 2.8342
Ni 1.9532 0.4381 5.2777
Ni 2.5391 1.8116 2.0401
Ni 2.8949 2.6877 4.4353
Ni 3.4808 4.0612 1.1976
Ni 3.8863 0.4067 3.6412
Ni 4.4722 1.8430 0.4035
Ni 5.8324 0.3866 2.0292
Ni 5.2464 1.8631 5.2669
H 1.8903 3.1782 1.3512
H 1.3043 3.5707 4.5888
H 4.1297 0.9286 1.8865
H 3.5437 1.3211 5.1242
```

VASP energy = -4.49 eV per atom
D(E_F) = 2.88 states/eV/f.u.
Symmetry = P2_1/c, No. 14
ΔE to the lowest computed polymorph = 70 meV per atom